Record 1
The following is a DFT calculation (GGA-PBE) of SrMgSc2Os after structural relaxation.

Unit cell a=5.0667 b=5.0667 c=5.3506 alpha=90.00 beta=90.00 gamma=90.00
Last column: nearest neighbours and their distance in Å.
Positions (direct):
Sr 0.0000 0.0000 0.0000  4 Mg 3.58, 8 Sc 3.68
Mg 0.5000 0.5000 0.0000  2 Os 2.68
Sc 0.0000 0.5000 0.5000  2 Os 2.53
Sc 0.5000 0.0000 0.5000  2 Os 2.53
Os 0.5000 0.5000 0.5000  4 Sc 2.53, 2 Mg 2.68

## Properties
VASP energy, eV/atom: -5.48
Space-group type: No. 123
D(E_F), states/eV per cell: 2.9
Crystal system: tetragonal
Energy of formation from the pure elements, kJ per mole of atoms: -4.4

Record 2
The following is a DFT calculation (GGA-PBE) of MgScTaOs after structural relaxation.

Unit cell a=4.6271 b=4.6271 c=4.6271 alpha=60.00 beta=60.00 gamma=60.00
Last column: nearest neighbours and their distance in Å.
Positions (direct):
Mg 0.0000 0.0000 0.0000  4 Ta 2.83, 4 Sc 2.83
Sc 0.2500 0.2500 0.2500  4 Mg 2.83, 4 Os 2.83
Ta 0.7500 0.7500 0.7500  4 Os 2.83, 4 Mg 2.83
Os 0.5000 0.5000 0.5000  4 Ta 2.83, 4 Sc 2.83

## Properties
VASP energy, eV/atom: -7.89
Space-group type: No. 216
D(E_F), states/eV per cell: 0.9
Crystal system: cubic
Energy of formation from the pure elements, kJ per mole of atoms: -13.2

Record 3
The following is a DFT calculation (GGA-PBE) of TbMgScOs after structural relaxation.

Unit cell a=4.8704 b=4.8704 c=4.8704 alpha=60.00 beta=60.00 gamma=60.00
Last column: nearest neighbours and their distance in Å.
Positions (direct):
Tb 0.0000 0.0000 0.0000  4 Os 2.98, 4 Mg 2.98
Mg 0.2500 0.2500 0.2500  4 Tb 2.98, 4 Sc 2.98
Sc 0.5000 0.5000 0.5000  4 Mg 2.98, 4 Os 2.98
Os 0.7500 0.7500 0.7500  4 Tb 2.98, 4 Sc 2.98

## Properties
VASP energy, eV/atom: -6.12
Space-group type: No. 216
D(E_F), states/eV per cell: 3.5
Crystal system: cubic
Relative energy among the computed polymorphs, meV per atom: 75
Energy of formation from the pure elements, kJ per mole of atoms: -16.5